1.
## HgSbAu2 (GGA-PBE)

Data for a relaxed HgSbAu2 crystal.

Properties
For the formation energy (no corrections), the calculation gives 10.1 kJ per mole of atoms. The calculation puts the energy above the most stable polymorph in this dataset at 0.0821 eV/atom.

Lattice parameters (Å, degrees): 4.7709 4.7709 3.9226 90.00 90.00 102.57
Closest atoms and distances in Å follow each position.
Positions (direct):
Hg 0.0000 0.0000 0.0000  2 Sb 2.98, 8 Au 3.09
Sb 0.5000 0.5000 0.0000  2 Hg 2.98, 8 Au 3.09
Au 0.0000 0.5000 0.5000  2 Au 2.98, 4 Hg 3.09, 4 Sb 3.09
Au 0.5000 0.0000 0.5000  2 Au 2.98, 4 Hg 3.09, 4 Sb 3.09

***

2.
## Ho2Er2TmMg5 (GGA-PBE)

Data for a relaxed Ho2Er2TmMg5 crystal.

Properties
The formation energy comes out at 0.089 eV/atom.

Lattice parameters (Å, degrees): 10.4968 10.4968 5.0299 90.00 90.00 90.00
Closest atoms and distances in Å follow each position.
Positions (direct):
Ho 0.1775 0.3225 0.0000  3 Er 3.02-3.17
Ho 0.3225 0.8225 0.0000  3 Er 3.02-3.17
Ho 0.6775 0.1775 0.0000  3 Er 3.02-3.17
Ho 0.8225 0.6775 0.0000  3 Er 3.02-3.17
Er 0.1189 0.6189 0.0000  3 Ho 3.02-3.17, 6 Mg 3.07-3.21
Er 0.3811 0.1189 0.0000  3 Ho 3.02-3.17, 6 Mg 3.07-3.21
Er 0.6189 0.8811 0.0000  3 Ho 3.02-3.17, 6 Mg 3.07-3.21
Er 0.8811 0.3811 0.0000  3 Ho 3.02-3.17, 6 Mg 3.07-3.21
Tm 0.0000 0.0000 0.0000  8 Mg 3.34
Tm 0.5000 0.5000 0.0000  8 Mg 3.34
Mg 0.0000 0.5000 0.5000  4 Er 3.07, 4 Mg 3.29
Mg 0.0747 0.8042 0.5000  4 Mg 3.11-3.41, 2 Er 3.21, 2 Tm 3.34
Mg 0.1958 0.0747 0.5000  4 Mg 3.11-3.41, 2 Er 3.21, 2 Tm 3.34
Mg 0.3042 0.5747 0.5000  4 Mg 3.11-3.41, 2 Er 3.21, 2 Tm 3.34
Mg 0.4253 0.3042 0.5000  4 Mg 3.11-3.41, 2 Er 3.21, 2 Tm 3.34
Mg 0.5000 0.0000 0.5000  4 Er 3.07, 4 Mg 3.29
Mg 0.5747 0.6958 0.5000  4 Mg 3.11-3.41, 2 Er 3.21, 2 Tm 3.34
Mg 0.6958 0.4253 0.5000  4 Mg 3.11-3.41, 2 Er 3.21, 2 Tm 3.34
Mg 0.8042 0.9253 0.5000  4 Mg 3.11-3.41, 2 Er 3.21, 2 Tm 3.34
Mg 0.9253 0.1958 0.5000  4 Mg 3.11-3.41, 2 Er 3.21, 2 Tm 3.34

***

3.
## Ir2PtPb (GGA-PBE)

Data for a relaxed Ir2PtPb crystal.

Properties
The formation energy comes out at 0.472 eV/atom.

Lattice parameters (Å, degrees): 3.0776 3.0776 7.3837 90.00 90.00 90.00
Closest atoms and distances in Å follow each position.
Positions (direct):
Ir 0.0000 0.0000 0.2196  4 Pt 2.71, 4 Pb 3.00
Ir 0.0000 0.0000 0.7804  4 Pt 2.71, 4 Pb 3.00
Pt 0.5000 0.5000 0.0000  8 Ir 2.71
Pb 0.5000 0.5000 0.5000  8 Ir 3.00, 4 Pb 3.08

***

4.
## InBi3P (GGA-PBE)

Data for a relaxed InBi3P crystal.

Properties
The calculation puts the energy above the most stable polymorph in this dataset at 0.0000 eV/atom. The formation energy comes out at 0.416 eV/atom.

Lattice parameters (Å, degrees): 5.4813 5.4813 5.4813 90.00 90.00 90.00
Closest atoms and distances in Å follow each position.
Positions (direct):
In 0.0000 0.0000 0.0000  12 Bi 3.88
Bi 0.0000 0.5000 0.5000  2 P 2.74
Bi 0.5000 0.0000 0.5000  2 P 2.74
Bi 0.5000 0.5000 0.0000  2 P 2.74
P 0.5000 0.5000 0.5000  6 Bi 2.74

***

5.
## CsCdBiPb (GGA-PBE)

Data for a relaxed CsCdBiPb crystal.

Properties
The formation energy comes out at -0.134 eV/atom.

Lattice parameters (Å, degrees): 4.6192 4.6192 15.6762 90.00 90.00 90.00
Closest atoms and distances in Å follow each position.
Positions (direct):
Cs 0.2500 0.2500 0.2360  4 Bi 3.93, 4 Pb 4.36
Cs 0.7500 0.7500 0.7640  4 Bi 3.93, 4 Pb 4.36
Cd 0.2500 0.7500 0.5000  4 Bi 3.02, 4 Cd 3.27
Cd 0.7500 0.2500 0.5000  4 Bi 3.02, 4 Cd 3.27
Bi 0.2500 0.2500 0.6243  4 Cd 3.02
Bi 0.7500 0.7500 0.3757  4 Cd 3.02
Pb 0.2500 0.7500 0.0000  4 Pb 3.27
Pb 0.7500 0.2500 0.0000  4 Pb 3.27

***

6.
## LiGeB (GGA-PBE)

Data for a relaxed LiGeB crystal.

Properties
The formation energy comes out at 0.059 eV/atom.

Lattice parameters (Å, degrees): 4.8548 4.8548 5.4344 103.59 103.59 41.87
Closest atoms and distances in Å follow each position.
Positions (direct):
Li 0.0000 0.0000 0.0000  2 B 2.27-2.44
Li 0.6887 0.6887 0.6812  4 B 2.35-2.53, 1 Ge 2.47
Ge 0.4075 0.4075 0.5938  3 B 2.15-2.17
Ge 0.7556 0.7556 0.2080  3 B 2.20-2.29
B 0.0021 0.0021 0.4492  1 B 1.67
B 0.1728 0.1728 0.3842  1 B 1.67

***

7.
## Ac4Pm3Tl5 (GGA-PBE)

Data for a relaxed Ac4Pm3Tl5 crystal.

Properties
The formation energy comes out at -0.225 eV/atom.

Lattice parameters (Å, degrees): 9.3493 9.3493 9.2393 116.25 116.25 36.43
Closest atoms and distances in Å follow each position.
Positions (direct):
Ac 0.0796 0.0796 0.4021  3 Tl 3.30-3.59
Ac 0.1634 0.1634 0.9127  4 Tl 3.35-3.57, 1 Pm 3.73
Ac 0.8366 0.8366 0.0873  4 Tl 3.35-3.57, 1 Pm 3.73
Ac 0.9204 0.9204 0.5979  3 Tl 3.30-3.59
Pm 0.2801 0.2801 0.3686  4 Tl 3.21-3.29
Pm 0.5000 0.5000 0.0000  4 Tl 2.92-3.21
Pm 0.7199 0.7199 0.6314  4 Tl 3.21-3.29
Tl 0.0000 0.0000 0.0000  2 Pm 2.92
Tl 0.3015 0.3015 0.7383  4 Pm 3.21-3.26, 1 Ac 3.51
Tl 0.4476 0.4476 0.3044  1 Tl 3.20, 2 Pm 3.29-3.35, 2 Ac 3.57
Tl 0.5524 0.5524 0.6956  1 Tl 3.20, 2 Pm 3.29-3.35, 2 Ac 3.57
Tl 0.6985 0.6985 0.2617  4 Pm 3.21-3.26, 1 Ac 3.51

***

8.
## TaCo2Ru (GGA-PBE)

Data for a relaxed TaCo2Ru crystal.

Properties
The calculation puts the energy above the most stable polymorph in this dataset at 0.1133 eV/atom. The formation energy comes out at -0.102 eV/atom.

Lattice parameters (Å, degrees): 4.6238 4.6238 4.6238 132.05 132.05 70.15
Closest atoms and distances in Å follow each position.
Positions (direct):
Ta 0.0000 0.0000 0.0000  8 Co 2.66-2.67, 4 Ru 2.67
Co 0.2500 0.7500 0.5000  4 Ru 2.66, 4 Co 2.67, 4 Ta 2.67
Co 0.5000 0.5000 0.0000  4 Ta 2.66, 4 Co 2.67, 4 Ru 2.67
Ru 0.7500 0.2500 0.5000  8 Co 2.66-2.67, 4 Ta 2.67

***

9.
## Ti2HgRh (GGA-PBE)

Data for a relaxed Ti2HgRh crystal.

Properties
The formation energy comes out at -0.165 eV/atom.

Lattice parameters (Å, degrees): 8.8373 8.8373 8.8373 19.94 19.94 19.94
Closest atoms and distances in Å follow each position.
Positions (direct):
Ti 0.0000 0.0000 0.0000  3 Rh 2.62
Ti 0.1862 0.1862 0.1862  3 Rh 2.58
Hg 0.7599 0.7599 0.7599  6 Ti 2.99-3.00, 6 Hg 3.06
Rh 0.5921 0.5921 0.5921  6 Ti 2.58-2.62

***

10.
## Pr2HoIn3 (GGA-PBE)

Data for a relaxed Pr2HoIn3 crystal.

Properties
The calculation puts the energy above the most stable polymorph in this dataset at 0.0000 eV/atom. The formation energy comes out at -0.484 eV/atom.

Lattice parameters (Å, degrees): 3.8280 3.8280 11.6930 90.00 90.00 90.00
Closest atoms and distances in Å follow each position.
Positions (direct):
Pr 0.0000 0.0000 0.1732  8 In 3.38-3.39
Pr 0.0000 0.0000 0.8268  8 In 3.38-3.39
Ho 0.0000 0.0000 0.5000  8 In 3.24
In 0.5000 0.5000 0.0000  8 Pr 3.38
In 0.5000 0.5000 0.3475  4 Ho 3.24, 4 Pr 3.39, 1 In 3.57
In 0.5000 0.5000 0.6525  4 Ho 3.24, 4 Pr 3.39, 1 In 3.57

***

11.
## BaY2Te (GGA-PBE)

Data for a relaxed BaY2Te crystal.

Properties
For the formation energy (no corrections), the calculation gives -58.6 kJ per mole of atoms.

Lattice parameters (Å, degrees): 4.0482 4.0482 8.7791 90.00 90.00 90.00
Closest atoms and distances in Å follow each position.
Positions (direct):
Ba 0.0000 0.0000 0.0000  4 Te 3.81, 5 Y 3.88-4.07, 4 Ba 4.05
Y 0.0000 0.0000 0.4418  4 Te 3.17, 4 Y 3.50
Y 0.5000 0.5000 0.6703  1 Te 3.38, 4 Y 3.50
Te 0.5000 0.5000 0.2857  5 Y 3.17-3.38

***

12.
## NaIrRu (GGA-PBE)

Data for a relaxed NaIrRu crystal.

Properties
The calculation puts the energy above the most stable polymorph in this dataset at 1.6072 eV/atom. The formation energy comes out at 1.941 eV/atom.

Lattice parameters (Å, degrees): 5.1237 5.1237 9.1075 90.00 90.00 120.00
Closest atoms and distances in Å follow each position.
Positions (direct):
Na 0.3333 0.6667 0.2500  3 Ru 2.96
Na 0.6667 0.3333 0.7500  3 Ru 2.96
Ir 0.0000 0.0000 0.0000  2 Ru 2.28
Ir 0.0000 0.0000 0.5000  2 Ru 2.28
Ru 0.0000 0.0000 0.2500  2 Ir 2.28
Ru 0.0000 0.0000 0.7500  2 Ir 2.28

***

13.
## YLuTe (GGA-PBE)

Data for a relaxed YLuTe crystal.

Properties
For the formation energy (no corrections), the calculation gives -44.0 kJ per mole of atoms. The calculation puts the energy above the most stable polymorph in this dataset at 0.3078 eV/atom.

Lattice parameters (Å, degrees): 5.1163 5.1163 3.9206 90.00 90.00 120.00
Closest atoms and distances in Å follow each position.
Positions (direct):
Y 0.0000 0.0000 0.0000  3 Te 3.16, 3 Lu 3.53
Lu 0.3333 0.6667 0.5061  3 Te 3.07
Te 0.6667 0.3333 0.7171  3 Lu 3.07, 3 Y 3.16

***

Record order is preserved below.
Total energy: -10.558 -59.679 -25.582 -17.712 -19.784 -26.061 -45.214 -35.749 -24.103 -25.255 -20.423 -27.267 -15.496 eV for the cell shown